Crystalline HoTmNp2Se4 at its relaxed geometry, computed with PBE.

a b c (Å): 7.0133 4.0640 7.0927
angles (deg): 90.00 109.51 90.00
With the nearest neighbours (Å) after each atom.
Fractional positions:
Ho 0.0000 0.0000 0.0000  6 Se 2.86
Tm 0.0000 0.5000 0.5000  6 Se 2.84
Np 0.5000 0.0000 0.5000  6 Se 2.89-2.91
Np 0.5000 0.5000 0.0000  6 Se 2.91-2.92
Se 0.2423 0.0000 0.7467  2 Tm 2.84, 1 Ho 2.86, 3 Np 2.91
Se 0.2436 0.5000 0.2503  1 Tm 2.84, 2 Ho 2.86, 3 Np 2.89-2.92
Se 0.7564 0.5000 0.7497  1 Tm 2.84, 2 Ho 2.86, 3 Np 2.89-2.92
Se 0.7577 0.0000 0.2533  2 Tm 2.84, 1 Ho 2.86, 3 Np 2.91

Calculated values
- N(E_F): 20.828 states/eV/cell
- E: -7.4877 eV/atom
- SG: P2/m
- Volume: 190.55 Å³/cell
- Energy relative to the elements, uncorrected: -1379 meV per atom

***

Crystalline HoNpSi2 at its relaxed geometry, computed with PBE.

a b c (Å): 7.3045 7.3045 7.3045
angles (deg): 31.50 31.50 31.50
With the nearest neighbours (Å) after each atom.
Fractional positions:
Ho 0.0000 0.0000 0.0000  6 Si 2.90
Np 0.5000 0.5000 0.5000  6 Si 2.84
Si 0.2477 0.2477 0.2477  3 Np 2.84, 3 Ho 2.90
Si 0.7523 0.7523 0.7523  3 Np 2.84, 3 Ho 2.90

Calculated values
- N(E_F): 7.365 states/eV/cell
- E: -7.2330 eV/atom
- SG: R-3m
- Volume: 94.47 Å³/cell
- Energy relative to the elements, uncorrected: -142 meV per atom

***

Crystalline HoNpSn2 at its relaxed geometry, computed with PBE.

a b c (Å): 4.8887 4.8887 4.3749
angles (deg): 90.00 90.00 90.00
With the nearest neighbours (Å) after each atom.
Fractional positions:
Ho 0.0000 0.0000 0.0000  8 Sn 3.28, 4 Np 3.46
Np 0.5000 0.5000 0.0000  8 Sn 3.28, 4 Ho 3.46
Sn 0.0000 0.5000 0.5000  4 Ho 3.28, 4 Np 3.28, 4 Sn 3.46
Sn 0.5000 0.0000 0.5000  4 Ho 3.28, 4 Np 3.28, 4 Sn 3.46

Calculated values
- N(E_F): 10.471 states/eV/cell
- E: -6.6287 eV/atom
- Formation energy from the elements: -0.25 eV/atom
- Energy above the lowest structure with this stoichiometry: 0 meV per atom
- SG: P4/mmm
- Volume: 104.56 Å³/cell

***

Crystalline HoNpSn6 at its relaxed geometry, computed with PBE.

a b c (Å): 4.7049 4.7049 9.2303
angles (deg): 90.00 90.00 90.00
With the nearest neighbours (Å) after each atom.
Fractional positions:
Ho 0.0000 0.0000 0.0000  12 Sn 3.31-3.33
Np 0.0000 0.0000 0.5000  12 Sn 3.28-3.33
Sn 0.0000 0.5000 0.2520  8 Sn 3.28-3.33, 2 Np 3.28, 2 Ho 3.31
Sn 0.0000 0.5000 0.7480  8 Sn 3.28-3.33, 2 Np 3.28, 2 Ho 3.31
Sn 0.5000 0.0000 0.2520  8 Sn 3.28-3.33, 2 Np 3.28, 2 Ho 3.31
Sn 0.5000 0.0000 0.7480  8 Sn 3.28-3.33, 2 Np 3.28, 2 Ho 3.31
Sn 0.5000 0.5000 0.0000  8 Sn 3.31, 4 Ho 3.33
Sn 0.5000 0.5000 0.5000  8 Sn 3.28, 4 Np 3.33

Calculated values
- N(E_F): 13.511 states/eV/cell
- E: -5.4663 eV/atom
- Formation energy from the elements: -0.27 eV/atom
- SG: P4/mmm
- Volume: 204.32 Å³/cell

***

Crystalline HoNpSn2 at its relaxed geometry, computed with PBE.

a b c (Å): 11.9453 11.9453 11.9453
angles (deg): 15.81 15.81 15.81
With the nearest neighbours (Å) after each atom.
Fractional positions:
Ho 0.0000 0.0000 0.0000  2 Sn 3.12, 6 Ho 3.29
Np 0.5000 0.5000 0.5000  6 Np 3.29, 6 Sn 3.36
Sn 0.0882 0.0882 0.0882  1 Ho 3.12, 6 Sn 3.29, 3 Np 3.36
Sn 0.9118 0.9118 0.9118  1 Ho 3.12, 6 Sn 3.29, 3 Np 3.36

Calculated values
- N(E_F): 7.622 states/eV/cell
- E: -6.2128 eV/atom
- Formation energy from the elements: 0.17 eV/atom
- Energy above the lowest structure with this stoichiometry: 416 meV per atom
- SG: R-3m
- Volume: 110.26 Å³/cell

***

Crystalline HoNpSn2 at its relaxed geometry, computed with PBE.

a b c (Å): 3.9525 3.9525 6.7157
angles (deg): 90.00 90.00 90.00
With the nearest neighbours (Å) after each atom.
Fractional positions:
Ho 0.0000 0.0000 0.0000  8 Sn 3.23, 2 Np 3.36
Np 0.0000 0.0000 0.5000  8 Sn 3.29, 2 Ho 3.36
Sn 0.5000 0.5000 0.2405  4 Ho 3.23, 2 Sn 3.23-3.49, 4 Np 3.29
Sn 0.5000 0.5000 0.7595  4 Ho 3.23, 2 Sn 3.23-3.49, 4 Np 3.29

Calculated values
- N(E_F): 9.273 states/eV/cell
- E: -6.6204 eV/atom
- Formation energy from the elements: -0.24 eV/atom
- Energy above the lowest structure with this stoichiometry: 8 meV per atom
- SG: P4/mmm
- Volume: 104.91 Å³/cell

***

> The highest volume belongs to which entry?

HoNpSn6

***

> Which formula does entry 5 have?

HoNpSn2

***

> Which of these has the lowest volume?

HoNpSi2